Record 1
First-principles (meta-GGA SCAN) data for a crystal of ScCoPb2 relaxed with PBEsol, as listed in the Alexandria database.

The structure in POSCAR format:
```
ScCoPb2
1.0
3.390 0.000 0.001
0.000 4.270 0.000
-0.866 0.000 5.754
Pb Sc Co
2 1 1
Cartesian
2.189 0.000 4.220 Pb
0.334 0.000 1.535 Pb
1.695 2.135 0.001 Sc
-0.433 2.135 2.877 Co
```

## Properties
**Formation energy from the elements**: 0.02 eV per atom
**DOS(E_F)**: 1.99 states/eV per cell



Record 2
First-principles (meta-GGA SCAN) data for a crystal of ScCoPb relaxed with PBEsol, as listed in the Alexandria database.

The structure in POSCAR format:
```
ScCoPb
1.0
-0.257 1.206 3.031
-1.250 -2.941 -0.702
5.409 -2.662 1.518
Co Pb Sc
1 1 1
Cartesian
0.071 -0.035 0.020 Co
3.208 -2.044 2.852 Pb
0.623 -2.317 0.975 Sc
```

## Properties
**Formation energy from the elements**: 0.22 eV per atom
**DOS(E_F)**: 1.98 states/eV per cell



Record 3
First-principles (meta-GGA SCAN) data for a crystal of ScCo2Pb relaxed with PBEsol, as listed in the Alexandria database.

The structure in POSCAR format:
```
ScCo2Pb
1.0
-2.370 -1.947 0.926
-0.270 -1.097 -2.998
4.026 -4.321 1.219
Co Sc Pb
2 1 1
Cartesian
1.038 -1.114 0.314 Co
2.988 -3.207 0.905 Co
0.693 -3.682 -0.427 Sc
-1.320 -1.522 -1.036 Pb
```

## Properties
**Formation energy from the elements**: 0.06 eV per atom
**DOS(E_F)**: 2.45 states/eV per cell



Record 4
First-principles (meta-GGA SCAN) data for a crystal of ScCo2Pb relaxed with PBEsol, as listed in the Alexandria database.

The structure in POSCAR format:
```
ScCo2Pb
1.0
-1.360 2.807 -0.462
-3.299 -1.519 0.484
0.309 1.029 5.340
Co Sc Pb
2 1 1
Cartesian
0.305 1.016 5.274 Co
-2.254 0.896 1.320 Co
-2.081 1.471 4.306 Sc
0.143 0.476 2.471 Pb
```

## Properties
**Formation energy from the elements**: 0.19 eV per atom
**DOS(E_F)**: 2.82 states/eV per cell



Question: Among the records above, which one has the highest DOS(E_F)?
Answer: number 4



Question: What is the formation energy from the elements in the third record?
Answer: 0.06 eV per atom



Question: formation energy from the elements of number 2 (ScCoPb)?
Answer: 0.22 eV per atom



Question: Among the records above, which one has the lowest formation energy from the elements?
Answer: ScCoPb2